DFT (PBE-GGA) results for a geometry-optimized AcPmH8Ir2 structure.

```
data_AcPmH8Ir2
_chemical_formula_sum 'Ac3 Pm3 H24 Ir6'
_symmetry_space_group_name_H-M 'R -3'
_symmetry_Int_Tables_number 148
_symmetry_space_group_name_Hall '-R 3'
_cell_length_a 4.9252
_cell_length_b 4.9252
_cell_length_c 19.6218
_cell_angle_alpha 90.00
_cell_angle_beta 90.00
_cell_angle_gamma 120.00
loop_
_atom_site_label
_atom_site_fract_x
_atom_site_fract_y
_atom_site_fract_z
_atom_site_occupancy
Ac1 0.0000 0.0000 0.0000 1
Pm1 0.0000 0.0000 0.5000 1
H1 0.0000 0.0000 0.3184 1
H2 0.0525 0.5231 0.5533 1
Ir1 0.0000 0.0000 0.2356 1
```

Output
The calculation puts the density at 9239 kg/m3. The magnetization is 0.00 μB per formula unit. As for the crystal system: trigonal. The total DFT energy (no corrections) comes out at -4.7422 eV/atom. The value obtained for the density of states at the Fermi level is 2.7 states/eV/f.u.